[1]
Here is HgTeRu after structural relaxation from Alexandria via LeMat-Bulk. Energies are from PBE-GGA.

a b c (Å): 6.966 6.966 3.179
angles (deg): 76.81 76.81 26.38
Element x y z (fractional)
Ru1 0.318 0.318 0.682
Te1 0.709 0.709 0.291
Hg1 0.973 0.973 0.027

* polymorph energy (0 for the lowest one): 98 meV/atom
* E_tot: -12.27 eV for the cell shown
* energy relative to the elements, uncorrected: 0.149 eV per atom
* total magnetization: 0.000 μB/atom
* theoretical density: 10.70 g cm⁻³

[2]
Here is Tm2CuBi after structural relaxation from Alexandria via LeMat-Bulk. Energies are from PBE-GGA.

a b c (Å): 3.778 3.778 9.806
angles (deg): 78.89 78.89 60.00
Element x y z (fractional)
Tm1 0.891 0.891 0.326
Tm2 0.109 0.109 0.674
Cu1 0.500 0.500 0.500
Bi1 0.000 0.000 0.000

* ΔH_f (0 K): 0.0269 eV/atom
* polymorph energy (0 for the lowest one): 469 meV/atom
* E_tot: -16.81 eV for the cell shown
* total magnetization: 0.000 μB/atom
* theoretical density: 8.58 g cm⁻³